(1)
{"formula": "Hf2ScHgGe", "functional": "PBE", "state": "relaxed", "e_tot_ev_per_cell": -25.75, "ef_kcal_per_mol_atoms": 24.96, "magnetic_moment_mub_per_cell": 2.39, "n_ef_per_ev_atom": 1.2009, "cell": [[5.295, 0.000, 0.000], [0.000, 4.979, 0.000], [0.000, 0.000, 5.295]], "species": ["Sc", "Hg", "Ge", "Hf", "Hf"], "fractional_positions": [[0.500, 0.500, 0.500], [0.000, 0.000, 0.000], [0.000, 0.500, 0.000], [0.500, 0.000, 0.000], [0.000, 0.000, 0.500]]}



(2)
{"formula": "ScZn2Mo", "functional": "PBE", "state": "relaxed", "e_tot_ev_per_cell": -19.63, "polymorph_energy_mev_per_atom": 94, "ef_kcal_per_mol_atoms": 0.49, "magnetic_moment_mub_per_cell": 0.81, "n_ef_per_ev_atom": 0.6961, "cell": [[0.000, 3.203, 3.203], [3.203, 0.000, 3.203], [3.203, 3.203, 0.000]], "species": ["Mo", "Zn", "Zn", "Sc"], "fractional_positions": [[0.500, 0.500, 0.500], [0.250, 0.250, 0.250], [0.750, 0.750, 0.750], [0.000, 0.000, 0.000]]}



(3)
{"formula": "PmEr4Bi5", "functional": "PBE", "state": "relaxed", "e_tot_ev_per_cell": -50.76, "ef_kcal_per_mol_atoms": -19.25, "magnetic_moment_mub_per_cell": 0.00, "n_ef_per_ev_atom": 0.1992, "cell": [[-2.595, -3.164, 1.808], [1.900, -4.093, -4.437], [8.812, 0.438, 7.882]], "species": ["Er", "Er", "Er", "Er", "Bi", "Bi", "Bi", "Bi", "Bi", "Pm"], "fractional_positions": [[0.400, 0.400, 0.800], [0.798, 0.798, 0.596], [0.202, 0.202, 0.404], [0.600, 0.600, 0.200], [0.000, 0.500, 0.000], [0.801, 0.301, 0.601], [0.199, 0.699, 0.399], [0.603, 0.103, 0.207], [0.397, 0.897, 0.793], [0.000, 0.000, 0.000]]}



(4)
{"formula": "Y5Cr4", "functional": "PBE", "state": "relaxed", "e_tot_ev_per_cell": -65.65, "polymorph_energy_mev_per_atom": 139, "ef_kcal_per_mol_atoms": 13.23, "magnetic_moment_mub_per_cell": 14.15, "n_ef_per_ev_atom": 1.2771, "cell": [[-3.742, -0.334, 6.015], [4.416, 4.426, -3.346], [-5.509, 0.800, -4.394]], "species": ["Cr", "Cr", "Cr", "Cr", "Y", "Y", "Y", "Y", "Y"], "fractional_positions": [[0.000, 0.654, 0.654], [0.000, 0.346, 0.346], [0.654, 0.000, 0.654], [0.346, 0.000, 0.346], [0.323, 0.323, 0.647], [0.000, 0.000, 0.000], [0.677, 0.677, 0.353], [0.323, 0.677, 0.000], [0.677, 0.323, 0.000]]}



(5)
{"formula": "CeBiH8Rh2", "functional": "PBE", "state": "relaxed", "e_tot_ev_per_cell": -51.90, "magnetic_moment_mub_per_cell": 0.50, "n_ef_per_ev_atom": 0.4649, "cell": [[4.093, 0.000, 0.000], [2.047, 3.545, 0.000], [2.047, 1.182, 8.353]], "species": ["H", "H", "H", "H", "H", "H", "H", "H", "Rh", "Rh", "Bi", "Ce"], "fractional_positions": [[0.174, 0.338, 0.750], [0.818, 0.818, 0.547], [0.263, 0.826, 0.250], [0.182, 0.182, 0.453], [0.826, 0.662, 0.250], [0.338, 0.737, 0.750], [0.662, 0.263, 0.250], [0.737, 0.174, 0.750], [0.250, 0.250, 0.250], [0.750, 0.750, 0.750], [0.000, 0.000, 0.000], [0.500, 0.500, 0.500]]}



(6)
{"formula": "CsPrZnO3", "functional": "PBE", "state": "relaxed", "e_tot_ev_per_cell": -68.90, "magnetic_moment_mub_per_cell": 0.00, "n_ef_per_ev_atom": 0.0000, "formation_energy_uncorrected_ev_per_atom": -2.11, "cell": [[3.730, 0.000, 0.000], [0.000, 8.465, -0.117], [0.000, -2.354, 8.151]], "species": ["O", "O", "O", "O", "O", "O", "Cs", "Cs", "Zn", "Zn", "Pr", "Pr"], "fractional_positions": [[0.750, 0.150, 0.545], [0.750, 0.842, 0.149], [0.250, 0.158, 0.851], [0.750, 0.466, 0.133], [0.250, 0.534, 0.867], [0.250, 0.850, 0.455], [0.250, 0.198, 0.218], [0.750, 0.802, 0.782], [0.250, 0.075, 0.615], [0.750, 0.925, 0.385], [0.250, 0.654, 0.152], [0.750, 0.346, 0.848]]}



(7)
{"formula": "Mg2Cu2Cl7", "functional": "PBE", "state": "relaxed", "e_tot_ev_per_cell": -37.29, "magnetic_moment_mub_per_cell": 1.08, "n_ef_per_ev_atom": 0.2543, "formation_energy_uncorrected_ev_per_atom": -1.18, "cell": [[8.478, 1.245, 1.623], [-0.240, 6.501, -0.818], [-0.240, -2.476, 6.066]], "species": ["Mg", "Mg", "Cl", "Cl", "Cl", "Cl", "Cl", "Cl", "Cl", "Cu", "Cu"], "fractional_positions": [[0.500, 0.330, 0.670], [0.500, 0.670, 0.330], [0.320, 0.435, 0.435], [0.666, 0.343, 0.978], [0.680, 0.565, 0.565], [0.666, 0.978, 0.343], [0.334, 0.022, 0.657], [0.334, 0.657, 0.022], [0.000, 0.000, 0.000], [0.219, 0.782, 0.782], [0.781, 0.218, 0.218]]}



Repeat the first record exactly.
{"formula": "Hf2ScHgGe", "functional": "PBE", "state": "relaxed", "e_tot_ev_per_cell": -25.75, "ef_kcal_per_mol_atoms": 24.96, "magnetic_moment_mub_per_cell": 2.39, "n_ef_per_ev_atom": 1.2009, "cell": [[5.295, 0.000, 0.000], [0.000, 4.979, 0.000], [0.000, 0.000, 5.295]], "species": ["Sc", "Hg", "Ge", "Hf", "Hf"], "fractional_positions": [[0.500, 0.500, 0.500], [0.000, 0.000, 0.000], [0.000, 0.500, 0.000], [0.500, 0.000, 0.000], [0.000, 0.000, 0.500]]}



Repeat the fifth record exactly.
{"formula": "CeBiH8Rh2", "functional": "PBE", "state": "relaxed", "e_tot_ev_per_cell": -51.90, "magnetic_moment_mub_per_cell": 0.50, "n_ef_per_ev_atom": 0.4649, "cell": [[4.093, 0.000, 0.000], [2.047, 3.545, 0.000], [2.047, 1.182, 8.353]], "species": ["H", "H", "H", "H", "H", "H", "H", "H", "Rh", "Rh", "Bi", "Ce"], "fractional_positions": [[0.174, 0.338, 0.750], [0.818, 0.818, 0.547], [0.263, 0.826, 0.250], [0.182, 0.182, 0.453], [0.826, 0.662, 0.250], [0.338, 0.737, 0.750], [0.662, 0.263, 0.250], [0.737, 0.174, 0.750], [0.250, 0.250, 0.250], [0.750, 0.750, 0.750], [0.000, 0.000, 0.000], [0.500, 0.500, 0.500]]}